Entry 1:
Compound: BeZnReW2
Source: Alexandria
Functional: PBE
Structure: relaxed

DOS at the Fermi energy = 5.9 states/eV per cell
total magnetization = 0.000 μB/f.u.
total energy = -32.90 eV/cell

abc: 4.7576 4.7453 4.7576
angles: 90.00 90.00 90.00
Fractional positions:
Re (0.0000, 0.0000, 0.0000)
Zn (0.0000, 0.5000, 0.0000)
W (0.0000, 0.0000, 0.5000)
W (0.5000, 0.0000, 0.0000)
Be (0.5000, 0.5000, 0.5000)

***

Entry 2:
Compound: BeHOs2
Source: Alexandria
Functional: PBE
Structure: relaxed

DOS at the Fermi energy = 2.8 states/eV per cell
ΔE to the lowest computed polymorph = 24.1 kJ/mol of atoms
total magnetization = 0.000 μB/f.u.
total energy = -27.00 eV/cell

abc: 3.8677 3.8677 3.8677
angles: 60.00 60.00 60.00
Fractional positions:
Be (0.5000, 0.5000, 0.5000)
Os (0.2500, 0.2500, 0.2500)
Os (0.7500, 0.7500, 0.7500)
H (0.0000, 0.0000, 0.0000)